5
Lattice="-2.7113 -0.7223 1.7947 -0.7772 -2.4229 -2.1493 1.7716 -2.1684 1.8037" Properties=species:S:1:pos:R:3 comment="ScNiH3 | Alexandria | PBEsol | relaxed" dft_energy_ev_per_atom=-5.0403 sg=Pm-3m dos_at_fermi_per_ev_fu=1.105 pbc="T T T"
Sc -0.8585 -2.6568 0.7246
Ni 0.0000 0.0000 0.0000
H -0.3886 -1.2114 -1.0746
H 0.8858 -1.0842 0.9019
H -1.3556 -0.3611 0.8973